## Na3Sm3VO8 (PBE with a Hubbard U)

Data for crystalline Na3Sm3VO8 at its relaxed geometry.

Summary:
density of states at the Fermi level: 0.000 states/eV/atom
total magnetic moment: 1.00 μB per formula unit
SG: C2/m (12)
energy: -6.880 eV/atom

abc: 6.8094 6.8094 6.8390
angles: 119.96 119.96 60.39
Atoms (fractional coordinates):
Na 0.0000 0.0000 0.0000
Na 0.0000 0.5000 0.5000
Na 0.5000 0.0000 0.5000
Sm 0.0000 0.5000 0.0000
Sm 0.5000 0.0000 0.0000
Sm 0.5000 0.5000 0.5000
V 0.0000 0.0000 0.5000
O 0.2067 0.2067 0.7221
O 0.2123 0.7718 0.2881
O 0.2282 0.7877 0.7119
O 0.2598 0.2598 0.2372
O 0.7402 0.7402 0.7628
O 0.7718 0.2123 0.2881
O 0.7877 0.2282 0.7119
O 0.7933 0.7933 0.2779